Zr2SbBr: relaxed, PBE-GGA.

Computed properties:
formation energy from raw total energies = 0.03 eV per atom
uncorrected energy = -5.70 eV/atom
size of the total moment = 0.00 μB/f.u.
energy above the most stable polymorph in this dataset = 2.336 eV/f.u.
calculated density = 5.8 g/cm3
V = 27.47 A^3/atom

The structure in POSCAR format:
```
Zr2SbBr
1.0
-2.497 2.497 8.811
2.497 -2.497 8.811
2.497 2.497 -8.811
Zr Sb Br
4 2 2
Cartesian
3.746 1.158 -2.203
1.158 1.249 2.203
-1.249 1.339 6.608
1.339 1.249 11.013
2.497 0.000 4.405
0.000 0.000 8.811
0.000 0.000 0.000
0.000 2.497 4.405
```